# 1
This record from the Alexandria database describes KSnSeO5 after structural relaxation. The functional is GGA-PBE.

a b c (Å): 6.144 6.144 7.556
angles (deg): 104.23 104.23 106.08
Sites, in units of the cell vectors:
K (0.167, 0.833, 0.750)
K (0.833, 0.167, 0.250)
Sn (0.500, 0.500, 0.000)
Sn (0.500, 0.500, 0.500)
Se (0.186, 0.814, 0.250)
Se (0.814, 0.186, 0.750)
O (0.110, 0.265, 0.911)
O (0.201, 0.615, 0.384)
O (0.265, 0.110, 0.411)
O (0.385, 0.799, 0.116)
O (0.432, 0.568, 0.750)
O (0.568, 0.432, 0.250)
O (0.615, 0.201, 0.884)
O (0.735, 0.890, 0.589)
O (0.799, 0.385, 0.616)
O (0.890, 0.735, 0.089)

## Properties
uncorrected formation energy = -1.14 eV/atom
space-group type = No. 15
D(E_F) = 0.28 states/eV/atom

=====

# 2
This record from the Alexandria database describes ZrRh3 after structural relaxation. The functional is GGA-PBE.

a b c (Å): 4.706 4.706 2.977
angles (deg): 90.00 90.00 106.43
Sites, in units of the cell vectors:
Zr (0.000, 0.000, 0.000)
Rh (0.000, 0.500, 0.500)
Rh (0.500, 0.000, 0.500)
Rh (0.500, 0.500, 0.000)

## Properties
space-group type = No. 65
energy = -8.11 eV/atom
D(E_F) = 1.36 states/eV/atom

=====

# 3
This record from the Alexandria database describes LiMg3In after structural relaxation. The functional is GGA-PBE.

a b c (Å): 4.990 4.990 4.990
angles (deg): 90.00 90.00 90.00
Sites, in units of the cell vectors:
Li (0.000, 0.000, 0.000)
Mg (0.000, 0.000, 0.500)
Mg (0.000, 0.500, 0.000)
Mg (0.500, 0.000, 0.000)
In (0.500, 0.500, 0.500)

## Properties
excess energy over the best structure of this formula in the dataset = 0.364 eV per atom
space-group type = No. 221
D(E_F) = 0.61 states/eV/atom

=====

# 4
This record from the Alexandria database describes TbSm2Er4Th after structural relaxation. The functional is GGA-PBE.

a b c (Å): 5.046 5.062 9.935
angles (deg): 90.00 90.00 90.00
Sites, in units of the cell vectors:
Tb (0.000, 0.000, 0.000)
Sm (0.000, 0.000, 0.500)
Sm (0.500, 0.500, 0.000)
Er (0.000, 0.500, 0.253)
Er (0.000, 0.500, 0.747)
Er (0.500, 0.000, 0.253)
Er (0.500, 0.000, 0.747)
Th (0.500, 0.500, 0.500)

## Properties
space-group type = No. 47
energy = -4.94 eV/atom
D(E_F) = 1.40 states/eV/atom

=====

# 5
This record from the Alexandria database describes CdSn4Pd after structural relaxation. The functional is GGA-PBE.

a b c (Å): 6.912 6.912 8.046
angles (deg): 112.58 112.58 95.75
Sites, in units of the cell vectors:
Cd (0.125, 0.875, 0.750)
Cd (0.875, 0.125, 0.250)
Sn (0.011, 0.734, 0.014)
Sn (0.266, 0.989, 0.486)
Sn (0.280, 0.502, 0.514)
Sn (0.498, 0.720, 0.986)
Sn (0.502, 0.280, 0.014)
Sn (0.720, 0.498, 0.486)
Sn (0.734, 0.011, 0.514)
Sn (0.989, 0.266, 0.986)
Pd (0.375, 0.625, 0.250)
Pd (0.625, 0.375, 0.750)

## Properties
space-group type = No. 15
energy = -3.82 eV/atom
D(E_F) = 0.40 states/eV/atom

=====

# 6
This record from the Alexandria database describes ScSiIr2Rh after structural relaxation. The functional is GGA-PBE.

a b c (Å): 4.879 4.879 4.286
angles (deg): 90.00 90.00 90.00
Sites, in units of the cell vectors:
Sc (0.000, 0.000, 0.000)
Si (0.500, 0.500, 0.000)
Ir (0.000, 0.500, 0.500)
Ir (0.500, 0.000, 0.500)
Rh (0.500, 0.500, 0.500)

## Properties
uncorrected formation energy = 0.75 eV/atom
space-group type = No. 123
D(E_F) = 1.07 states/eV/atom

=====

# 7
This record from the Alexandria database describes MnMoSe2 after structural relaxation. The functional is GGA-PBE.

a b c (Å): 3.172 3.172 6.416
angles (deg): 90.00 90.00 90.00
Sites, in units of the cell vectors:
Mn (0.000, 0.000, 0.000)
Mo (0.000, 0.000, 0.500)
Se (0.500, 0.500, 0.259)
Se (0.500, 0.500, 0.741)

## Properties
excess energy over the best structure of this formula in the dataset = 0.307 eV per atom
uncorrected formation energy = 0.00 eV/atom
space-group type = No. 123
D(E_F) = 0.83 states/eV/atom